The following is a DFT calculation (PBE-GGA) of a relaxed structure of Nd3CdRh2.

Lattice parameters (Å, degrees): 6.7416 7.3029 8.3057 116.08 113.94 90.00
Element x y z (fractional)
Nd1 0.5000 0.2500 0.0000
Nd2 0.5000 0.7500 0.0000
Nd3 0.7840 0.0340 0.5679
Nd4 0.2160 0.4660 0.4321
Nd5 0.2160 0.9660 0.4321
Nd6 0.7840 0.5340 0.5679
Cd1 0.0000 0.5000 0.0000
Cd2 0.0000 0.0000 0.0000
Rh1 0.5601 0.3600 0.7200
Rh2 0.8402 0.1400 0.2800
Rh3 0.1598 0.8600 0.7200
Rh4 0.4399 0.6400 0.2800

Calculated density   7.612 Mg/m³
Calculated formation energy   -0.5105 eV/atom
Total energy   -5.50 eV/atom
Crystal system   orthorhombic
Symmetry   Ibam